PmSmAlCu: relaxed, PBE.

a b c (Å): 3.5544 3.5544 7.5525
angles (deg): 90.00 90.00 90.00
Sites, in units of the cell vectors:
1 Sm 0.0000 0.0000 0.8439
2 Pm 0.0000 0.0000 0.3673
3 Cu 0.5000 0.5000 0.6128
4 Al 0.5000 0.5000 0.1040

Energy relative to the elements, eV per formula unit: -1.06
Energy, eV per atom: -4.592
E above lowest polymorph, eV per atom: 0.000

---

NaSmDy2S4: relaxed, PBE.

a b c (Å): 3.9342 6.8897 6.8692
angles (deg): 70.94 90.00 90.00
Sites, in units of the cell vectors:
1 S 0.0000 0.2397 0.2542
2 S 0.5000 0.2423 0.7545
3 S 0.5000 0.7577 0.2455
4 S 0.0000 0.7603 0.7458
5 Dy 0.0000 0.0000 0.0000
6 Dy 0.5000 0.0000 0.5000
7 Sm 0.0000 0.5000 0.5000
8 Na 0.5000 0.5000 0.0000

Energy, eV per atom: -5.895
Raw formation energy, kJ/mol of formula units: -1487

---

Among the records above, which one has the highest energy? PmSmAlCu

---

Which value of energy does entry 1 give? -4.592 eV per atom